Entry from the Alexandria database: Sm6Ho3Tm2Th after structural relaxation (PBE-GGA).

Lattice parameters (Å, degrees): 6.197 10.724 11.862 90.00 100.05 90.00
Space group C2/m (No. 12)
Inequivalent atoms, fractional coordinates:
Sm 0.247 0.000 0.251 [4 per cell]
Sm 0.249 0.165 0.749 [8 per cell]
Ho 0.000 0.167 0.000 [4 per cell]
Ho 0.000 0.500 0.000 [2 per cell]
Tm 0.000 0.333 0.500 [4 per cell]
Th 0.000 0.000 0.500 [2 per cell]

Summary:
calculated volume: 32.3 Å³/atom
mass density: 8.416 g/cm3
DFT total energy: -4.837 eV per atom
total magnetic moment: 0.00 μB per atom
formation enthalpy at 0 K: 0.03 eV/atom

Entry from the Alexandria database: Li23CdRh6 after structural relaxation (PBE-GGA).

Lattice parameters (Å, degrees): 12.219 12.219 12.219 90.00 90.00 90.00
Space group Fm-3m (No. 225)
Inequivalent atoms, fractional coordinates:
Li 0.000 0.000 0.000 [4 per cell]
Li 0.000 0.250 0.250 [24 per cell]
Li 0.120 0.120 0.120 [32 per cell]
Li 0.126 0.126 0.374 [32 per cell]
Cd 0.000 0.000 0.500 [4 per cell]
Rh 0.000 0.000 0.254 [24 per cell]

Summary:
calculated volume: 15.2 Å³/atom
mass density: 3.238 g/cm3
DFT total energy: -3.030 eV per atom
total magnetic moment: 0.00 μB per atom
formation enthalpy at 0 K: -0.06 eV/atom

Entry from the Alexandria database: Ho2Tl4In after structural relaxation (PBE-GGA).

Lattice parameters (Å, degrees): 5.822 5.822 12.649 90.00 90.00 90.00
Space group I4/mmm (No. 139)
Inequivalent atoms, fractional coordinates:
Ho 0.000 0.000 0.142 [4 per cell]
Tl 0.000 0.500 0.000 [4 per cell]
Tl 0.000 0.500 0.250 [4 per cell]
In 0.000 0.000 0.500 [2 per cell]

Summary:
calculated volume: 30.6 Å³/atom
mass density: 9.779 g/cm3
DFT total energy: -3.008 eV per atom
total magnetic moment: 0.00 μB per atom
formation enthalpy at 0 K: 0.04 eV/atom

Entry from the Alexandria database: BeNbSb2Pt after structural relaxation (PBE-GGA).

Lattice parameters (Å, degrees): 5.187 5.187 5.077 90.00 90.00 90.00
Space group P4/mmm (No. 123)
Inequivalent atoms, fractional coordinates:
Be 0.000 0.000 0.000 [1 per cell]
Nb 0.500 0.500 0.000 [1 per cell]
Sb 0.000 0.500 0.500 [2 per cell]
Pt 0.500 0.500 0.500 [1 per cell]

Summary:
calculated volume: 27.3 Å³/atom
mass density: 6.571 g/cm3
formation energy from raw total energies: 1.183 eV per atom
DFT total energy: -4.433 eV per atom
total magnetic moment: 0.37 μB per atom